The following is a DFT calculation (meta-GGA SCAN) of CaY2ZrTa at its PBEsol-relaxed geometry.

Symmetry = No. 123
VASP energy = -31.003 eV/atom
N(E_F) = 6.582 states/eV/f.u.
Formation energy = 1523.6 meV per atom
V = 29.2 A^3/atom
Total moment = 3.40 Bohr magnetons per cell

Geometry as CIF:
```
data_CaY2ZrTa
_chemical_formula_sum 'Ca1 Y2 Zr1 Ta1'
_cell_length_a 5.267
_cell_length_b 5.267
_cell_length_c 5.255
_cell_angle_alpha 90.00
_cell_angle_beta 90.00
_cell_angle_gamma 90.00
_symmetry_space_group_name_H-M 'P 1'
_symmetry_Int_Tables_number 1
_symmetry_space_group_name_Hall 'P 1'
loop_
_atom_site_label
_atom_site_type_symbol
_atom_site_fract_x
_atom_site_fract_y
_atom_site_fract_z
Ca1 Ca 0.000 0.000 0.000
Y1 Y 0.000 0.500 0.500
Y2 Y 0.500 0.000 0.500
Zr1 Zr 0.000 0.000 0.500
Ta1 Ta 0.500 0.500 0.000
```